(1)
The following is a GGA-PBE calculation of RbCeIn2Cl8 after structural relaxation, from Alexandria via LeMat-Bulk.

Calculated values
- magnetic moment (μB/atom) = 0.051
- formation energy from raw total energies (eV per atom) = -1.49

a = 6.8159 Å, b = 6.5625 Å, c = 9.1004 Å
α = 89.97°, β = 89.98°, γ = 89.35°
Site moments in Bohr magnetons follow the coordinates.
Atoms (fractional coordinates):
Rb1 0.0000 0.0000 0.5000  0.00
Ce1 0.0000 0.0000 0.0000  0.48
In1 0.4999 0.4998 0.7432  0.03
In2 0.5001 0.5002 0.2568  0.03
Cl1 0.1708 0.7701 0.2111  0.00
Cl2 0.6904 0.7404 0.0000  0.00
Cl3 0.8290 0.2297 0.2111  0.00
Cl4 0.8292 0.2299 0.7889  0.00
Cl5 0.3096 0.2596 0.0000  0.00
Cl6 0.1710 0.7703 0.7889  0.00
Cl7 0.6284 0.7040 0.5000  0.02
Cl8 0.3716 0.2960 0.5000  0.02

(2)
The following is a GGA-PBE calculation of RbCeInCl6 after structural relaxation, from Alexandria via LeMat-Bulk.

Calculated values
- magnetic moment (μB/atom) = 0.000
- formation energy from raw total energies (eV per atom) = -1.75

a = 7.0735 Å, b = 7.0735 Å, c = 13.6807 Å
α = 90.00°, β = 90.00°, γ = 90.00°
Atoms (fractional coordinates):
Rb1 0.5000 0.5000 0.1705
Rb2 0.0000 0.0000 0.6705
Ce1 0.5000 0.5000 0.8338
Ce2 0.0000 0.0000 0.3338
In1 0.5000 0.5000 0.5021
In2 0.0000 0.0000 0.0021
Cl1 0.1890 0.8110 0.4698
Cl2 0.8110 0.1890 0.4698
Cl3 0.3110 0.3110 0.9698
Cl4 0.6890 0.6890 0.9698
Cl5 0.1737 0.8263 0.1856
Cl6 0.8263 0.1737 0.1856
Cl7 0.3263 0.3263 0.6856
Cl8 0.6737 0.6737 0.6856
Cl9 0.7642 0.2358 0.8413
Cl10 0.2358 0.7642 0.8413
Cl11 0.7358 0.7358 0.3413
Cl12 0.2642 0.2642 0.3413

(3)
The following is a GGA-PBE calculation of Rb2CeInCl6 after structural relaxation, from Alexandria via LeMat-Bulk.

Calculated values
- magnetic moment (μB/atom) = 0.100
- formation energy from raw total energies (eV per atom) = -1.83

a = 7.8853 Å, b = 8.7669 Å, c = 11.5459 Å
α = 90.00°, β = 90.00°, γ = 90.00°
Site moments in Bohr magnetons follow the coordinates.
Atoms (fractional coordinates):
Rb1 0.5000 0.8217 0.1989  0.00
Rb2 0.0000 0.1783 0.6989  0.00
Rb3 0.5000 0.8217 0.8011  0.00
Rb4 0.0000 0.1783 0.3011  0.00
Ce1 0.5000 0.2060 0.5000  0.98
Ce2 0.0000 0.7940 0.0000  0.98
In1 0.0000 0.7053 0.5000  0.00
In2 0.5000 0.2947 0.0000  0.00
Cl1 0.5000 0.1939 0.2612  0.00
Cl2 0.5000 0.1939 0.7388  0.00
Cl3 0.0000 0.8061 0.2388  0.00
Cl4 0.0000 0.8061 0.7612  0.00
Cl5 0.2563 0.9763 0.5000  0.00
Cl6 0.7437 0.9763 0.5000  0.00
Cl7 0.2324 0.4043 0.5000  -0.01
Cl8 0.7676 0.4043 0.5000  -0.01
Cl9 0.7324 0.5957 0.0000  -0.01
Cl10 0.2676 0.5957 0.0000  -0.01
Cl11 0.2437 0.0237 0.0000  0.00
Cl12 0.7563 0.0237 0.0000  0.00

Final energy for the records above, in order: -3.751; -4.050; -3.996 eV per atom